1:
DFT (PBE) results for a geometry-optimized TlRuO4 structure.

Values from the calculation:
The calculation puts the calculated volume at 459.2 Å³/cell. Its size of the total moment is 3.94 μB per cell. As for the space-group type: Pnma, No. 62.

Cell: 9.2206 6.2521 7.9651 Å, 90.00 90.00 90.00°
Last column: nearest neighbours and their distance in Å.
Sites, in units of the cell vectors:
Tl  0.1873  0.2500  0.1773  6 O 2.80-2.96
Tl  0.3127  0.7500  0.6773  6 O 2.80-2.96
Tl  0.6873  0.2500  0.3227  6 O 2.80-2.96
Tl  0.8127  0.7500  0.8227  6 O 2.80-2.96
Ru  0.0528  0.2500  0.6855  4 O 1.75-1.76
Ru  0.4472  0.7500  0.1855  4 O 1.75-1.76
Ru  0.5528  0.2500  0.8145  4 O 1.75-1.76
Ru  0.9472  0.7500  0.3145  4 O 1.75-1.76
O  0.0719  0.0166  0.8068  1 Ru 1.76
O  0.0719  0.4834  0.8068  1 Ru 1.76
O  0.1213  0.7500  0.4031  1 Ru 1.75
O  0.1860  0.2500  0.5285  1 Ru 1.75
O  0.3140  0.7500  0.0285  1 Ru 1.75
O  0.3787  0.2500  0.9031  1 Ru 1.75
O  0.4281  0.5166  0.3068  1 Ru 1.76
O  0.4281  0.9834  0.3068  1 Ru 1.76
O  0.5719  0.0166  0.6932  1 Ru 1.76
O  0.5719  0.4834  0.6932  1 Ru 1.76
O  0.6213  0.7500  0.0969  1 Ru 1.75
O  0.6860  0.2500  0.9715  1 Ru 1.75
O  0.8140  0.7500  0.4715  1 Ru 1.75
O  0.8787  0.2500  0.5969  1 Ru 1.75
O  0.9281  0.5166  0.1932  1 Ru 1.76
O  0.9281  0.9834  0.1932  1 Ru 1.76

***

2:
DFT (PBE) results for a geometry-optimized TlRuO4 structure.

Values from the calculation:
The calculation puts the calculated volume at 154.9 Å³/cell. Its size of the total moment is 1.92 μB per cell. As for the space-group type: P2_1/c, No. 14.

Cell: 5.9016 4.9606 5.5392 Å, 90.00 107.16 90.00°
Last column: nearest neighbours and their distance in Å.
Sites, in units of the cell vectors:
Tl  0.0000  0.0000  0.0000  6 O 2.22-2.48
Tl  0.0000  0.5000  0.5000  6 O 2.22-2.48
Ru  0.5000  0.0000  0.5000  6 O 1.93-1.99
Ru  0.5000  0.5000  0.0000  6 O 1.93-1.99
O  0.1780  0.1319  0.3941  1 Ru 1.93
O  0.1780  0.3681  0.8941  1 Ru 1.93
O  0.3955  0.7087  0.6800  2 Ru 1.96-1.99
O  0.3955  0.7913  0.1800  2 Ru 1.96-1.99
O  0.6045  0.2087  0.8200  2 Ru 1.96-1.99
O  0.6045  0.2913  0.3200  2 Ru 1.96-1.99
O  0.8220  0.6319  0.1059  1 Ru 1.93
O  0.8220  0.8681  0.6059  1 Ru 1.93

***

Which structure is the most stable? The one labeled 1.

***

1:
DFT (PBE) results for a geometry-optimized TlRu3O structure.

Values from the calculation:
The calculation puts the calculated volume at 72.1 Å³/cell. Its size of the total moment is 0.00 μB per cell. As for the space-group type: Pm-3m, No. 221.

Cell: 4.1628 4.1628 4.1628 Å, 90.00 90.00 90.00°
Last column: nearest neighbours and their distance in Å.
Sites, in units of the cell vectors:
Tl  0.0000  0.0000  0.0000  12 Ru 2.94
Ru  0.0000  0.5000  0.5000  2 O 2.08
Ru  0.5000  0.0000  0.5000  2 O 2.08
Ru  0.5000  0.5000  0.0000  2 O 2.08
O  0.5000  0.5000  0.5000  6 Ru 2.08

***

2:
DFT (PBE) results for a geometry-optimized TlRu3O structure.

Values from the calculation:
The calculation puts the calculated volume at 129.8 Å³/cell. Its size of the total moment is 7.70 μB per cell. As for the space-group type: Pm-3m, No. 221.

Cell: 5.0628 5.0628 5.0628 Å, 90.00 90.00 90.00°
Last column: nearest neighbours and their distance in Å.
Sites, in units of the cell vectors:
Tl  0.0000  0.0000  0.0000  6 Ru 2.53
Ru  0.0000  0.0000  0.5000  2 Tl 2.53
Ru  0.0000  0.5000  0.0000  2 Tl 2.53
Ru  0.5000  0.0000  0.0000  2 Tl 2.53
O  0.5000  0.5000  0.5000  12 Ru 3.58

***

Which structure is the most stable? The one labeled 1.

***

1:
DFT (PBE) results for a geometry-optimized TlRu2O structure.

Values from the calculation:
The calculation puts the calculated volume at 250.4 Å³/cell. Its size of the total moment is 18.86 μB per cell. As for the space-group type: Fm-3m, No. 225.

Cell: 6.3031 6.3031 6.3031 Å, 90.00 90.00 90.00°
Last column: nearest neighbours and their distance in Å.
Sites, in units of the cell vectors:
Tl  0.0000  0.0000  0.0000  8 Ru 2.73
Tl  0.0000  0.5000  0.5000  8 Ru 2.73
Tl  0.5000  0.0000  0.5000  8 Ru 2.73
Tl  0.5000  0.5000  0.0000  8 Ru 2.73
Ru  0.2500  0.2500  0.2500  4 O 2.73, 4 Tl 2.73
Ru  0.2500  0.2500  0.7500  4 O 2.73, 4 Tl 2.73
Ru  0.2500  0.7500  0.2500  4 O 2.73, 4 Tl 2.73
Ru  0.2500  0.7500  0.7500  4 O 2.73, 4 Tl 2.73
Ru  0.7500  0.2500  0.2500  4 O 2.73, 4 Tl 2.73
Ru  0.7500  0.2500  0.7500  4 O 2.73, 4 Tl 2.73
Ru  0.7500  0.7500  0.2500  4 O 2.73, 4 Tl 2.73
Ru  0.7500  0.7500  0.7500  4 O 2.73, 4 Tl 2.73
O  0.0000  0.0000  0.5000  8 Ru 2.73
O  0.0000  0.5000  0.0000  8 Ru 2.73
O  0.5000  0.0000  0.0000  8 Ru 2.73
O  0.5000  0.5000  0.5000  8 Ru 2.73

***

2:
DFT (PBE) results for a geometry-optimized TlRu2O structure.

Values from the calculation:
The calculation puts the calculated volume at 289.4 Å³/cell. Its size of the total moment is 0.00 μB per cell. As for the space-group type: I-42d, No. 122.

Cell: 4.6664 4.6664 13.2898 Å, 90.00 90.00 90.00°
Last column: nearest neighbours and their distance in Å.
Sites, in units of the cell vectors:
Tl  0.0000  0.0000  0.0000  4 Ru 2.83
Tl  0.0000  0.5000  0.2500  4 Ru 2.83
Tl  0.5000  0.0000  0.7500  4 Ru 2.83
Tl  0.5000  0.5000  0.5000  4 Ru 2.83
Ru  0.0761  0.2500  0.6250  2 O 2.06
Ru  0.2500  0.5761  0.8750  2 O 2.06
Ru  0.2500  0.9239  0.3750  2 O 2.06
Ru  0.4239  0.2500  0.1250  2 O 2.06
Ru  0.5761  0.7500  0.1250  2 O 2.06
Ru  0.7500  0.0761  0.3750  2 O 2.06
Ru  0.7500  0.4239  0.8750  2 O 2.06
Ru  0.9239  0.7500  0.6250  2 O 2.06
O  0.0000  0.0000  0.5000  4 Ru 2.06
O  0.0000  0.5000  0.7500  4 Ru 2.06
O  0.5000  0.0000  0.2500  4 Ru 2.06
O  0.5000  0.5000  0.0000  4 Ru 2.06

***

Which structure is the most stable? The one labeled 2.